Entry from Alexandria: a relaxed RbCaAs3 crystal (GGA-PBE).

Summary:
VASP energy in eV/atom: -2.427
Distance to the lowest polymorph of the same formula in meV per atom: 769
Calculated formation energy in kJ/mol of formula units: 462

a = 5.525 Å, b = 5.525 Å, c = 5.525 Å
α = 90.00°, β = 90.00°, γ = 90.00°
Space group Pm-3m (No. 221)
Inequivalent atoms, fractional coordinates:
Rb  0.000  0.000  0.000 x1
Ca  0.500  0.500  0.500 x1
As  0.000  0.000  0.500 x3


Entry from Alexandria: a relaxed DyNbSb crystal (GGA-PBE).

Summary:
VASP energy in eV/atom: -6.907
E_form (uncorrected) in meV per atom: -642

a = 4.202 Å, b = 4.202 Å, c = 15.941 Å
α = 90.00°, β = 90.00°, γ = 90.00°
Space group I4/mmm (No. 139)
Inequivalent atoms, fractional coordinates:
Dy  0.000  0.000  0.172 x4
Nb  0.000  0.500  0.000 x4
Sb  0.000  0.000  0.370 x4